# Hg2BAu2 (PBE, relaxed)
# Energy of formation: 0.35 eV/atom
# Volume: 109 Å³/f.u.
data_Hg2BAu2
_space_group_name_H-M_alt 'P 4/m b m'
_space_group_IT_number 127
_space_group_name_Hall '-P 4 2ab'
_cell_length_a 5.7634
_cell_length_b 5.7634
_cell_length_c 6.5861
_cell_angle_alpha 90.00
_cell_angle_beta 90.00
_cell_angle_gamma 90.00
loop_
_atom_site_label
_atom_site_fract_x
_atom_site_fract_y
_atom_site_fract_z
Hg1 0.1931 0.3069 0.0000
B1 0.0000 0.0000 0.5000
Au1 0.1757 0.6757 0.5000


# Te6PdAu (PBE, relaxed)
# Volume: 217 Å³/f.u.
# Formation energy without anion corrections: -0.036 eV/atom
data_Te6PdAu
_space_group_name_H-M_alt 'P -1'
_space_group_IT_number 2
_cell_length_a 6.6218
_cell_length_b 6.6808
_cell_length_c 6.7049
_cell_angle_alpha 60.98
_cell_angle_beta 61.88
_cell_angle_gamma 61.68
loop_
_space_group_symop_operation_xyz
'x,y,z'
'-x,-y,-z'
loop_
_atom_site_label
_atom_site_fract_x
_atom_site_fract_y
_atom_site_fract_z
Te1 0.0312 0.2570 0.4560
Te2 0.2355 0.0489 0.9655
Te3 0.4553 0.5302 0.7661
Pd1 0.0000 0.5000 0.0000
Au1 0.5000 0.0000 0.5000